Entry 1:
Computed, not measured: an optimized crystal structure of PdPb5Au4 at the GGA-PBE level of DFT.

* calculated volume: 264 Å³/cell
* crystal system: monoclinic
* E_form: -0.045 eV per atom
* SG: C2/m (12)

a = 8.7258 Å, b = 8.7258 Å, c = 7.6096 Å
α = 104.56°, β = 104.56°, γ = 28.14°
Last column: nearest neighbours and their distance in Å.
Positions (direct):
Pd  0.0000  0.0000  0.0000  6 Au 2.79-2.91
Pb  0.0000  0.0000  0.5000  6 Au 2.91-3.05
Pb  0.3192  0.3192  0.3947  3 Au 2.93-3.00
Pb  0.3546  0.3546  0.9549  4 Au 2.91-3.10, 2 Pd 3.20
Pb  0.6454  0.6454  0.0451  4 Au 2.91-3.10, 2 Pd 3.20
Pb  0.6808  0.6808  0.6053  3 Au 2.93-3.00
Au  0.1402  0.1402  0.3174  1 Pd 2.91, 6 Pb 2.93-3.05, 2 Au 3.05
Au  0.4937  0.4937  0.7578  2 Pd 2.79, 4 Pb 2.91-3.10, 2 Au 3.05
Au  0.5063  0.5063  0.2422  2 Pd 2.79, 4 Pb 2.91-3.10, 2 Au 3.05
Au  0.8598  0.8598  0.6826  1 Pd 2.91, 6 Pb 2.93-3.05, 2 Au 3.05



Entry 2:
Computed, not measured: an optimized crystal structure of CsIn12Sn6 at the GGA-PBE level of DFT.

* calculated volume: 591 Å³/cell
* crystal system: trigonal
* E_form: 0.023 eV per atom
* SG: R-3m (166)

a = 8.7844 Å, b = 8.7844 Å, c = 8.7844 Å
α = 105.11°, β = 105.11°, γ = 105.11°
Last column: nearest neighbours and their distance in Å.
Positions (direct):
Cs  0.0000  0.0000  0.0000  6 In 3.93
In  0.1077  0.5000  0.8923  1 In 3.00, 4 Sn 3.02-3.23
In  0.1077  0.8923  0.5000  1 In 3.00, 4 Sn 3.02-3.23
In  0.1656  0.4049  0.4049  4 Sn 3.05-3.41, 2 In 3.34
In  0.4049  0.1656  0.4049  4 Sn 3.05-3.41, 2 In 3.34
In  0.4049  0.4049  0.1656  4 Sn 3.05-3.41, 2 In 3.34
In  0.5000  0.1077  0.8923  1 In 3.00, 4 Sn 3.02-3.23
In  0.5000  0.8923  0.1077  1 In 3.00, 4 Sn 3.02-3.23
In  0.5951  0.5951  0.8344  4 Sn 3.05-3.41, 2 In 3.34
In  0.5951  0.8344  0.5951  4 Sn 3.05-3.41, 2 In 3.34
In  0.8344  0.5951  0.5951  4 Sn 3.05-3.41, 2 In 3.34
In  0.8923  0.1077  0.5000  1 In 3.00, 4 Sn 3.02-3.23
In  0.8923  0.5000  0.1077  1 In 3.00, 4 Sn 3.02-3.23
Sn  0.2621  0.7151  0.7151  7 In 3.02-3.37
Sn  0.2849  0.2849  0.7379  7 In 3.02-3.37
Sn  0.2849  0.7379  0.2849  7 In 3.02-3.37
Sn  0.7151  0.2621  0.7151  7 In 3.02-3.37
Sn  0.7151  0.7151  0.2621  7 In 3.02-3.37
Sn  0.7379  0.2849  0.2849  7 In 3.02-3.37



Entry 3:
Computed, not measured: an optimized crystal structure of La3Tl5O12 at the GGA-PBE level of DFT.

* calculated volume: 1315 Å³/cell
* crystal system: cubic
* formation energy (no corrections): -163.6 kJ/mol of atoms
* SG: Ia-3d (230)

a = 11.9537 Å, b = 11.9537 Å, c = 11.9537 Å
α = 109.47°, β = 109.47°, γ = 109.47°
Last column: nearest neighbours and their distance in Å.
Positions (direct):
La  0.1250  0.2500  0.3750  8 O 2.55-2.61
La  0.1250  0.3750  0.7500  8 O 2.55-2.61
La  0.2500  0.3750  0.1250  8 O 2.55-2.61
La  0.2500  0.8750  0.6250  8 O 2.55-2.61
La  0.3750  0.1250  0.2500  8 O 2.55-2.61
La  0.3750  0.7500  0.1250  8 O 2.55-2.61
La  0.6250  0.2500  0.8750  8 O 2.55-2.61
La  0.6250  0.8750  0.7500  8 O 2.55-2.61
La  0.7500  0.1250  0.3750  8 O 2.55-2.61
La  0.7500  0.6250  0.8750  8 O 2.55-2.61
La  0.8750  0.6250  0.2500  8 O 2.55-2.61
La  0.8750  0.7500  0.6250  8 O 2.55-2.61
Tl  0.0000  0.0000  0.0000  6 O 2.30
Tl  0.0000  0.0000  0.5000  6 O 2.30
Tl  0.0000  0.5000  0.0000  6 O 2.30
Tl  0.0000  0.5000  0.5000  6 O 2.30
Tl  0.1250  0.7500  0.8750  4 O 2.17
Tl  0.1250  0.8750  0.2500  4 O 2.17
Tl  0.2500  0.1250  0.8750  4 O 2.17
Tl  0.2500  0.6250  0.3750  4 O 2.17
Tl  0.3750  0.2500  0.6250  4 O 2.17
Tl  0.3750  0.6250  0.7500  4 O 2.17
Tl  0.5000  0.0000  0.0000  6 O 2.30
Tl  0.5000  0.0000  0.5000  6 O 2.30
Tl  0.5000  0.5000  0.0000  6 O 2.30
Tl  0.5000  0.5000  0.5000  6 O 2.30
Tl  0.6250  0.3750  0.2500  4 O 2.17
Tl  0.6250  0.7500  0.3750  4 O 2.17
Tl  0.7500  0.3750  0.6250  4 O 2.17
Tl  0.7500  0.8750  0.1250  4 O 2.17
Tl  0.8750  0.1250  0.7500  4 O 2.17
Tl  0.8750  0.2500  0.1250  4 O 2.17
O  0.0445  0.2165  0.1337  2 Tl 2.17-2.30
O  0.0445  0.3280  0.9107  2 Tl 2.17-2.30
O  0.0827  0.7165  0.6720  2 Tl 2.17-2.30
O  0.0827  0.8663  0.4107  2 Tl 2.17-2.30
O  0.0893  0.6337  0.4173  2 Tl 2.17-2.30
O  0.0893  0.9555  0.6720  2 Tl 2.17-2.30
O  0.1337  0.0445  0.2165  2 Tl 2.17-2.30
O  0.1337  0.5893  0.9173  2 Tl 2.17-2.30
O  0.1720  0.2165  0.5827  2 Tl 2.17-2.30
O  0.1720  0.4555  0.5893  2 Tl 2.17-2.30
O  0.2165  0.1337  0.0445  2 Tl 2.17-2.30
O  0.2165  0.5827  0.1720  2 Tl 2.17-2.30
O  0.2835  0.3280  0.9173  2 Tl 2.17-2.30
O  0.2835  0.4555  0.3663  2 Tl 2.17-2.30
O  0.3280  0.9107  0.0445  2 Tl 2.17-2.30
O  0.3280  0.9173  0.2835  2 Tl 2.17-2.30
O  0.3663  0.2835  0.4555  2 Tl 2.17-2.30
O  0.3663  0.5827  0.9107  2 Tl 2.17-2.30
O  0.4107  0.0827  0.8663  2 Tl 2.17-2.30
O  0.4107  0.8280  0.5445  2 Tl 2.17-2.30
O  0.4173  0.0893  0.6337  2 Tl 2.17-2.30
O  0.4173  0.8280  0.7835  2 Tl 2.17-2.30
O  0.4555  0.3663  0.2835  2 Tl 2.17-2.30
O  0.4555  0.5893  0.1720  2 Tl 2.17-2.30
O  0.5445  0.4107  0.8280  2 Tl 2.17-2.30
O  0.5445  0.6337  0.7165  2 Tl 2.17-2.30
O  0.5827  0.1720  0.2165  2 Tl 2.17-2.30
O  0.5827  0.9107  0.3663  2 Tl 2.17-2.30
O  0.5893  0.1720  0.4555  2 Tl 2.17-2.30
O  0.5893  0.9173  0.1337  2 Tl 2.17-2.30
O  0.6337  0.4173  0.0893  2 Tl 2.17-2.30
O  0.6337  0.7165  0.5445  2 Tl 2.17-2.30
O  0.6720  0.0827  0.7165  2 Tl 2.17-2.30
O  0.6720  0.0893  0.9555  2 Tl 2.17-2.30
O  0.7165  0.5445  0.6337  2 Tl 2.17-2.30
O  0.7165  0.6720  0.0827  2 Tl 2.17-2.30
O  0.7835  0.4173  0.8280  2 Tl 2.17-2.30
O  0.7835  0.8663  0.9555  2 Tl 2.17-2.30
O  0.8280  0.5445  0.4107  2 Tl 2.17-2.30
O  0.8280  0.7835  0.4173  2 Tl 2.17-2.30
O  0.8663  0.4107  0.0827  2 Tl 2.17-2.30
O  0.8663  0.9555  0.7835  2 Tl 2.17-2.30
O  0.9107  0.0445  0.3280  2 Tl 2.17-2.30
O  0.9107  0.3663  0.5827  2 Tl 2.17-2.30
O  0.9173  0.1337  0.5893  2 Tl 2.17-2.30
O  0.9173  0.2835  0.3280  2 Tl 2.17-2.30
O  0.9555  0.6720  0.0893  2 Tl 2.17-2.30
O  0.9555  0.7835  0.8663  2 Tl 2.17-2.30



Entry 4:
Computed, not measured: an optimized crystal structure of EuDyEr2 at the GGA-PBE level of DFT.

* calculated volume: 130 Å³/cell
* energy above the most stable polymorph in this dataset: 0.13 eV/f.u.
* crystal system: tetragonal
* E_form: 0.099 eV per atom
* SG: P4/mmm (123)

a = 5.0651 Å, b = 5.0651 Å, c = 5.0484 Å
α = 90.00°, β = 90.00°, γ = 90.00°
Last column: nearest neighbours and their distance in Å.
Positions (direct):
Eu  0.0000  0.0000  0.0000  8 Er 3.58, 4 Dy 3.58
Dy  0.5000  0.5000  0.0000  8 Er 3.58, 4 Eu 3.58
Er  0.0000  0.5000  0.5000  4 Dy 3.58, 4 Eu 3.58, 4 Er 3.58
Er  0.5000  0.0000  0.5000  4 Dy 3.58, 4 Eu 3.58, 4 Er 3.58